La2ZrNiO6 | the Alexandria database | GGA+U | relaxed; V = 13.3 Å³ per atom; electronic total energy = -78.44 eV per formula unit
1.0
0.0000 4.0514 4.0514
4.0514 0.0000 4.0514
4.0514 4.0514 0.0000
La Zr Ni O
2 1 1 6
direct
0.2500 0.2500 0.2500
0.7500 0.7500 0.7500
0.0000 0.0000 0.0000
0.5000 0.5000 0.5000
0.2538 0.2538 0.7462
0.2538 0.7462 0.2538
0.2538 0.7462 0.7462
0.7462 0.2538 0.2538
0.7462 0.2538 0.7462
0.7462 0.7462 0.2538